Below is an optimized crystal structure of PuHgAuO6, with properties calculated at the PBE level.

a = 5.4846 Å, b = 5.4846 Å, c = 10.1223 Å
α = 90.00°, β = 90.00°, γ = 120.00°
Closest atoms and distances in Å follow each position.
Sites, in units of the cell vectors:
1 Pu 0.6667 0.3333 0.2500  6 O 2.05
2 Pu 0.3333 0.6667 0.7500  6 O 2.05
3 Hg 0.0000 0.0000 0.0000  6 O 2.38
4 Hg 0.0000 0.0000 0.5000  6 O 2.38
5 Au 0.3333 0.6667 0.2500  6 O 2.17
6 Au 0.6667 0.3333 0.7500  6 O 2.17
7 O 0.6554 0.6386 0.1371  1 Pu 2.05, 1 Au 2.17
8 O 0.9832 0.3446 0.1371  1 Pu 2.05, 1 Au 2.17
9 O 0.3446 0.9832 0.6371  1 Pu 2.05, 1 Au 2.17
10 O 0.0168 0.6554 0.8629  1 Pu 2.05, 1 Au 2.17
11 O 0.3614 0.3446 0.3629  1 Pu 2.05, 1 Au 2.17
12 O 0.9832 0.6386 0.3629  1 Pu 2.05, 1 Au 2.17
13 O 0.6386 0.9832 0.8629  1 Pu 2.05, 1 Au 2.17
14 O 0.6554 0.0168 0.3629  1 Pu 2.05, 1 Au 2.17
15 O 0.0168 0.3614 0.6371  1 Pu 2.05, 1 Au 2.17
16 O 0.3614 0.0168 0.1371  1 Pu 2.05, 1 Au 2.17
17 O 0.6386 0.6554 0.6371  1 Pu 2.05, 1 Au 2.17
18 O 0.3446 0.3614 0.8629  1 Pu 2.05, 1 Au 2.17

Computed properties:
Its density of states at the Fermi level is 0.23 states/eV/atom. The crystal system is trigonal. The calculation puts the uncorrected formation energy at -1.010 eV per atom. The volume is 14.6 Å³ per atom. For the final energy, the calculation gives -6.305 eV/atom.